Entry 1:
! PBE Ho2Tm3Hg7, relaxed; values from VASP
! * ΔH_f (0 K): -3.4 eV/f.u.
&SYSTEM
  ibrav = 0, nat = 12, ntyp = 3
/
ATOMIC_SPECIES
Ho 164.93 Ho.upf
Tm 168.93 Tm.upf
Hg 200.59 Hg.upf
ATOMIC_POSITIONS angstrom
Ho 0.0000 2.5811 8.0942
Ho 0.0000 0.0000 3.3110
Tm 2.6813 2.5811 0.0000
Tm 2.6813 2.5811 3.7215
Tm 2.6813 0.0000 7.6836
Hg 0.0000 0.0000 9.6897
Hg 0.0000 2.5811 5.0436
Hg 0.0000 0.0000 0.0000
Hg 0.0000 2.5811 1.7154
Hg 2.6813 0.0000 1.8916
Hg 2.6813 2.5811 9.5136
Hg 0.0000 0.0000 6.3615
CELL_PARAMETERS angstrom
5.3627 0.0000 0.0000
0.0000 5.1622 0.0000
0.0000 -2.5811 11.4051

***

Entry 2:
! PBE CeDy2YHo, relaxed; values from VASP
! * ΔH_f (0 K): 1.6 eV/f.u.
&SYSTEM
  ibrav = 0, nat = 10, ntyp = 4
/
ATOMIC_SPECIES
Ce 140.12 Ce.upf
Dy 162.50 Dy.upf
Y 88.91 Y.upf
Ho 164.93 Ho.upf
ATOMIC_POSITIONS angstrom
Ce 0.0000 0.0000 0.0000
Ce 0.0000 -0.5212 2.9009
Dy 4.7144 4.7138 5.3382
Dy 4.7144 1.5880 4.7772
Dy 2.1233 5.2350 2.4373
Dy 2.1233 2.1092 1.8763
Y 4.0477 -0.2606 1.4505
Y 2.7901 -0.7818 4.3514
Ho 1.1096 3.1509 5.0577
Ho 5.7281 3.6721 2.1568
CELL_PARAMETERS angstrom
6.8378 0.0000 0.0000
0.0000 7.8654 1.4127
0.0000 -1.0424 5.8018

***

Entry 3:
! PBE NdSm12Sc3, relaxed; values from VASP
! * ΔH_f (0 K): 0.6 eV/f.u.
&SYSTEM
  ibrav = 0, nat = 16, ntyp = 3
/
ATOMIC_SPECIES
Nd 144.24 Nd.upf
Sm 150.36 Sm.upf
Sc 44.96 Sc.upf
ATOMIC_POSITIONS angstrom
Nd 0.0000 0.0000 0.0000
Sm 2.5203 2.5203 0.0000
Sm 2.5203 2.5203 5.1187
Sm 2.5203 2.5203 10.0535
Sm 2.5203 2.5203 14.9884
Sm 2.5203 0.0000 2.6249
Sm 2.5203 0.0000 7.5790
Sm 2.5203 0.0000 12.5281
Sm 2.5203 0.0000 17.4821
Sm 0.0000 2.5203 2.6249
Sm 0.0000 2.5203 7.5790
Sm 0.0000 2.5203 12.5281
Sm 0.0000 2.5203 17.4821
Sc 0.0000 0.0000 5.1023
Sc 0.0000 0.0000 10.0535
Sc 0.0000 0.0000 15.0048
CELL_PARAMETERS angstrom
5.0406 0.0000 0.0000
0.0000 5.0406 0.0000
0.0000 0.0000 20.1071

***

Entry 4:
! PBE TbEuRhAu, relaxed; values from VASP
! * ΔH_f (0 K): -2.7 eV/f.u.
&SYSTEM
  ibrav = 0, nat = 4, ntyp = 4
/
ATOMIC_SPECIES
Eu 151.96 Eu.upf
Tb 158.93 Tb.upf
Au 196.97 Au.upf
Rh 102.91 Rh.upf
ATOMIC_POSITIONS angstrom
Eu 7.5732 4.3724 3.0917
Tb 2.5244 1.4575 1.0306
Au 0.0000 0.0000 0.0000
Rh 5.0488 2.9149 2.0612
CELL_PARAMETERS angstrom
5.0488 0.0000 0.0000
2.5244 4.3724 0.0000
2.5244 1.4575 4.1223

***

Entry 5:
! PBE CdCo5, relaxed; values from VASP
! * ΔH_f (0 K): 1.3 eV/f.u.
&SYSTEM
  ibrav = 0, nat = 6, ntyp = 2
/
ATOMIC_SPECIES
Cd 112.41 Cd.upf
Co 58.93 Co.upf
ATOMIC_POSITIONS angstrom
Cd 1.2993 -6.9110 0.0000
Co 1.2993 3.8449 2.0658
Co 1.2993 2.4927 0.0000
Co 1.2993 -1.0617 2.0658
Co 1.2993 -2.4390 0.0000
Co 1.2993 -5.2217 2.0658
CELL_PARAMETERS angstrom
1.2993 -6.9718 0.0000
1.2993 6.9718 0.0000
0.0000 0.0000 4.1317

***

Entry 6:
! PBE KTl2RuO8, relaxed; values from VASP
! * formation energy from raw total energies: -0.6012 eV/atom
&SYSTEM
  ibrav = 0, nat = 12, ntyp = 4
/
ATOMIC_SPECIES
K 39.10 K.upf
Tl 204.38 Tl.upf
Ru 101.07 Ru.upf
O 16.00 O.upf
ATOMIC_POSITIONS angstrom
K -0.0962 0.6966 3.7059
Tl 3.1787 2.6142 6.3280
Tl 2.3355 2.8313 1.8171
Ru 0.0000 0.0000 0.0000
O 0.2862 3.1348 2.3316
O 3.6745 4.5527 7.7381
O 5.1072 0.6510 1.0845
O 5.2280 2.3107 5.8135
O 1.8397 0.8928 0.4071
O 0.4070 4.7945 7.0606
O 2.7367 4.2665 4.3779
O 2.7774 1.1790 3.7673
CELL_PARAMETERS angstrom
5.9680 -0.3253 -0.1146
-0.2614 4.3776 0.8479
-0.1924 1.3932 7.4119

***

Entry 7:
! PBE Ba2DySn3Pt4, relaxed; values from VASP
! * ΔH_f (0 K): -8.7 eV/f.u.
&SYSTEM
  ibrav = 0, nat = 10, ntyp = 4
/
ATOMIC_SPECIES
Ba 137.33 Ba.upf
Dy 162.50 Dy.upf
Sn 118.71 Sn.upf
Pt 195.08 Pt.upf
ATOMIC_POSITIONS angstrom
Ba 2.3822 0.0000 2.6268
Ba 0.0000 2.3822 8.5676
Dy 2.3822 2.3822 5.5972
Sn 0.0000 0.0000 5.5972
Sn 2.3822 0.0000 9.8726
Sn 0.0000 2.3822 1.3218
Pt 2.3822 2.3822 0.0000
Pt 0.0000 0.0000 0.0000
Pt 2.3822 0.0000 7.1424
Pt 0.0000 2.3822 4.0520
CELL_PARAMETERS angstrom
4.7644 0.0000 0.0000
0.0000 4.7644 0.0000
0.0000 0.0000 11.1944

***

Entry 8:
! PBE Ta2TcHg, relaxed; values from VASP
! * ΔH_f (0 K): 1.5 eV/f.u.
&SYSTEM
  ibrav = 0, nat = 4, ntyp = 3
/
ATOMIC_SPECIES
Hg 200.59 Hg.upf
Ta 180.95 Ta.upf
Tc 98.00 Tc.upf
ATOMIC_POSITIONS angstrom
Hg -5.4808 -1.2838 0.7930
Ta 0.0000 0.0000 0.0000
Ta -2.7404 -0.6419 0.3965
Tc -8.2212 -1.9258 1.1895
CELL_PARAMETERS angstrom
-3.6787 -2.1867 -1.7973
-3.0258 -2.1355 2.7979
-4.2571 1.7545 0.5853

***

Entry 9:
! PBE Ce2DyLu, relaxed; values from VASP
! * ΔH_f (0 K): 0.3 eV/f.u.
&SYSTEM
  ibrav = 0, nat = 4, ntyp = 3
/
ATOMIC_SPECIES
Lu 174.97 Lu.upf
Ce 140.12 Ce.upf
Dy 162.50 Dy.upf
ATOMIC_POSITIONS angstrom
Lu -5.8761 -1.5668 -3.3816
Ce -8.7885 -2.3396 -5.0749
Ce -2.9637 -0.7941 -1.6883
Dy 0.0000 0.0000 0.0000
CELL_PARAMETERS angstrom
-1.1022 2.0371 -2.5735
0.1420 -1.1171 -3.2741
-10.7920 -4.0536 -0.9156

***

Entry 10:
! PBE Li3AlRh, relaxed; values from VASP
! * ΔH_f (0 K): 1.8 eV/f.u.
&SYSTEM
  ibrav = 0, nat = 5, ntyp = 3
/
ATOMIC_SPECIES
Rh 102.91 Rh.upf
Al 26.98 Al.upf
Li 6.94 Li.upf
ATOMIC_POSITIONS angstrom
Rh 0.0000 0.0000 0.0000
Al 1.1531 -3.3572 1.7103
Li -0.4865 -2.0914 -0.7513
Li 2.1604 -0.6253 0.3418
Li -0.5207 -0.6404 2.1198
CELL_PARAMETERS angstrom
-1.0415 -1.2809 4.2397
-0.9730 -4.1827 -1.5027
4.3207 -1.2507 0.6836

***

Entry 11:
! PBE UHgAu2, relaxed; values from VASP
! * ΔH_f (0 K): -0.2 eV/f.u.
&SYSTEM
  ibrav = 0, nat = 4, ntyp = 3
/
ATOMIC_SPECIES
Au 196.97 Au.upf
U 238.03 U.upf
Hg 200.59 Hg.upf
ATOMIC_POSITIONS angstrom
Au 0.0000 0.0000 6.1369
Au 0.0000 0.0000 2.0031
U 1.6237 1.6237 4.0700
Hg 1.6237 1.6237 0.0000
CELL_PARAMETERS angstrom
3.2473 0.0000 0.0000
0.0000 3.2473 0.0000
0.0000 0.0000 8.1400